Computed, not measured: crystalline SmYAgS3 at its relaxed geometry at the PBE level of DFT.

Cell: 7.5010 3.9054 9.3392 Å, 90.00 105.55 90.00°
Element x y z (fractional)
Sm (0.7461, 0.7500, 0.2034)
Ag (0.8837, 0.7500, 0.9233)
S (0.6501, 0.2500, 0.9546)
Ag (0.1163, 0.2500, 0.0767)
S (0.3499, 0.7500, 0.0454)
Sm (0.2539, 0.2500, 0.7966)
Y (0.6952, 0.2500, 0.6674)
S (0.4197, 0.7500, 0.6392)
S (0.5803, 0.2500, 0.3608)
S (0.9579, 0.7500, 0.6722)
Y (0.3048, 0.7500, 0.3326)
S (0.0421, 0.2500, 0.3278)

Properties
E above lowest polymorph (meV per atom): 0



Computed, not measured: crystalline FeAg2 at its relaxed geometry at the PBE level of DFT.

Cell: 8.2358 8.2358 8.2358 Å, 60.00 60.00 60.00°
Each line ends with the local moment (μB).
Element x y z (fractional)
Ag (0.8750, 0.3750, 0.3750)  0.02
Ag (0.3750, 0.3750, 0.3750)  -0.01
Ag (0.3750, 0.3750, 0.8750)  -0.02
Fe (0.2500, 0.2500, 0.2500)  3.02
Fe (0.5000, 0.5000, 0.5000)  3.02
Ag (0.3750, 0.8750, 0.3750)  -0.01

Properties
Final energy (eV/cell): -17.12



Computed, not measured: crystalline HoAgAu at its relaxed geometry at the PBE level of DFT.

Cell: 3.7271 3.7271 9.1305 Å, 90.00 90.00 90.00°
Element x y z (fractional)
Ho (0.0000, 0.5000, 0.7408)
Au (0.5000, 0.0000, 0.5922)
Au (0.0000, 0.5000, 0.4078)
Ho (0.5000, 0.0000, 0.2592)
Ag (0.5000, 0.0000, 0.9245)
Ag (0.0000, 0.5000, 0.0755)

Properties
E above lowest polymorph (meV per atom): 1



Computed, not measured: crystalline Gd2AlCoI2 at its relaxed geometry at the PBE level of DFT.

Cell: 4.1439 4.1439 11.9451 Å, 90.00 90.00 120.00°
Element x y z (fractional)
I (0.3333, 0.6667, 0.1604)
Gd (0.6667, 0.3333, 0.6615)
Gd (0.6667, 0.3333, 0.3382)
Co (0.3333, 0.6667, 0.5020)
I (0.0000, 0.0000, 0.8391)
Al (0.0000, 0.0000, 0.4989)

Properties
Final energy (eV/cell): -28.37